{"formula": "KPuNiO4", "functional": "PBE with a Hubbard U", "state": "optimized geometry", "energy_ev_per_atom": -7.280, "rho_g_cm3": 6.2, "n_ef_per_ev_atom": 0.873, "cell": [[-4.334, -3.445, 3.987], [5.595, -3.427, -2.717], [1.294, 3.510, 4.440]], "species": ["K", "O", "Pu", "O", "K", "O", "O", "Ni", "O", "Ni", "O", "O", "O", "Pu"], "frac_coords": [[0.935, 0.870, 0.185], [0.233, 0.466, 0.700], [0.500, 0.500, 0.500], [0.767, 0.534, 0.734], [0.065, 0.130, 0.815], [0.738, 0.106, 0.303], [0.631, 0.894, 0.697], [0.500, 0.000, 0.500], [0.767, 0.534, 0.300], [0.500, 0.000, 0.000], [0.369, 0.106, 0.303], [0.262, 0.894, 0.697], [0.233, 0.466, 0.266], [0.000, 0.500, 0.500]]}